(1)
Entry from Alexandria via LeMat-Bulk: an optimized crystal structure of CuReNi2 (GGA-PBEsol).

Cell: 2.596 2.596 6.926 Å, 90.00 90.00 90.00°
Fractional positions:
Cu: 0.000 0.000 0.000
Re: 0.000 0.000 0.500
Ni: 0.500 0.500 0.242
Ni: 0.500 0.500 0.758

Computed properties:
The calculation puts the total magnetization at 0.000 μB/cell. Its total energy is -30.03 eV per formula unit.

***

(2)
Entry from Alexandria via LeMat-Bulk: an optimized crystal structure of MnCr2Tc (GGA-PBEsol).

Cell: 2.823 2.823 5.851 Å, 90.00 90.00 90.00°
Fractional positions:
Mn: 0.000 0.000 0.000
Cr: 0.000 0.000 0.544
Cr: 0.500 0.500 0.783
Tc: 0.500 0.500 0.286

Computed properties:
The calculation puts the total magnetization at 0.000 μB/cell. Its total energy is -41.21 eV per formula unit.

***

(3)
Entry from Alexandria via LeMat-Bulk: an optimized crystal structure of TaCd4Te (GGA-PBEsol).

Cell: 5.623 5.623 5.623 Å, 60.00 60.00 60.00°
Fractional positions:
Ta: 0.000 0.000 0.000
Cd: 0.122 0.626 0.626
Cd: 0.626 0.122 0.626
Cd: 0.626 0.626 0.122
Cd: 0.626 0.626 0.626
Te: 0.250 0.250 0.250

Computed properties:
The calculation puts the total magnetization at 1.622 μB/cell. For the formation energy from raw total energies, the calculation gives 524 meV per atom.

***

(4)
Entry from Alexandria via LeMat-Bulk: an optimized crystal structure of Mg2Mn3O8 (GGA-PBEsol).

Cell: 5.882 5.882 5.882 Å, 58.36 58.36 58.36°
Fractional positions:
Mg: 0.000 0.000 0.000
Mg: 0.379 0.379 0.379
Mn: 0.508 0.998 0.998
Mn: 0.998 0.508 0.998
Mn: 0.998 0.998 0.508
O: 0.204 0.751 0.751
O: 0.238 0.238 0.238
O: 0.245 0.245 0.791
O: 0.245 0.791 0.245
O: 0.751 0.204 0.751
O: 0.751 0.751 0.204
O: 0.765 0.765 0.765
O: 0.791 0.245 0.245

Computed properties:
The calculation puts the total magnetization at 9.000 μB/cell. For the formation energy from raw total energies, the calculation gives -1971 meV per atom.

***

(5)
Entry from Alexandria via LeMat-Bulk: an optimized crystal structure of La3GaAs (GGA-PBEsol).

Cell: 5.611 5.611 5.611 Å, 90.00 90.00 90.00°
Fractional positions:
La: 0.000 0.000 0.500
La: 0.000 0.500 0.000
La: 0.500 0.000 0.000
Ga: 0.500 0.500 0.500
As: 0.000 0.000 0.000

Computed properties:
The calculation puts the total magnetization at 0.000 μB/cell. Its total energy is -26.40 eV per formula unit.

***

(6)
Entry from Alexandria via LeMat-Bulk: an optimized crystal structure of GePb3Au (GGA-PBEsol).

Cell: 5.394 5.394 5.394 Å, 90.00 90.00 90.00°
Fractional positions:
Ge: 0.000 0.000 0.000
Pb: 0.000 0.000 0.500
Pb: 0.000 0.500 0.000
Pb: 0.500 0.000 0.000
Au: 0.500 0.500 0.500

Computed properties:
The calculation puts the total magnetization at 0.000 μB/cell. Its total energy is -17.51 eV per formula unit.